Entry 1:
Entry from Alexandria via LeMat-Bulk: a relaxed Y3Zn2Pd5 crystal (PBE).

Lattice parameters (Å, degrees): 9.886 9.886 3.889 90.00 90.00 90.00
Space group P4/mbm (No. 127)
One atom of each set of equivalent atoms:
1 Y 0.000 0.000 0.000 [2 per cell]
2 Y 0.175 0.325 0.000 [4 per cell]
3 Zn 0.119 0.619 0.000 [4 per cell]
4 Pd 0.000 0.500 0.500 [2 per cell]
5 Pd 0.070 0.787 0.500 [8 per cell]

Calculated values
As for the formation energy from the elements: -0.776 eV per atom. As for the total moment: 0.0 Bohr magnetons per cell. The total energy is -5.566 eV per atom. The calculation puts the density of states at the Fermi level at 0.437 states/eV/atom.


Entry 2:
Entry from Alexandria via LeMat-Bulk: a relaxed K3Li2ScCl9 crystal (PBE).

Lattice parameters (Å, degrees): 7.0646 7.0646 8.8924 90.00 90.00 120.00
Space group P-3m1 (No. 164)
One atom of each set of equivalent atoms:
1 K 0.0000 0.0000 0.0000 [1 per cell]
2 K 0.3333 0.6667 0.6816 [2 per cell]
3 Li 0.3333 0.6667 0.1591 [2 per cell]
4 Sc 0.0000 0.0000 0.5000 [1 per cell]
5 Cl 0.0000 0.5000 0.0000 [3 per cell]
6 Cl 0.1652 0.3304 0.3377 [6 per cell]

Calculated values
The uncorrected formation energy is -1.78 eV/atom. As for the total moment: 0.8 Bohr magnetons per cell. The total energy is -3.789 eV per atom. The calculation puts the density of states at the Fermi level at 0.803 states/eV/atom.


Entry 3:
Entry from Alexandria via LeMat-Bulk: a relaxed RbBa3Tc2O9 crystal (PBE).

Lattice parameters (Å, degrees): 5.8455 5.8455 8.7102 90.00 90.00 120.00
Space group P-3m1 (No. 164)
One atom of each set of equivalent atoms:
1 Rb 0.0000 0.0000 0.0000 [1 per cell]
2 Ba 0.0000 0.0000 0.5000 [1 per cell]
3 Ba 0.3333 0.6667 0.2480 [2 per cell]
4 Tc 0.3333 0.6667 0.6448 [2 per cell]
5 O 0.0000 0.5000 0.5000 [3 per cell]
6 O 0.1774 0.3547 0.7579 [6 per cell]

Calculated values
The uncorrected formation energy is -2.01 eV/atom. As for the total moment: 0.0 Bohr magnetons per cell. The total energy is -6.817 eV per atom. The calculation puts the density of states at the Fermi level at 0.511 states/eV/atom.


Entry 4:
Entry from Alexandria via LeMat-Bulk: a relaxed CsPdCl crystal (PBE).

Lattice parameters (Å, degrees): 6.045 6.061 6.073 90.42 90.38 110.97
Space group P-1 (No. 2)
One atom of each set of equivalent atoms:
1 Cs 0.155 0.343 0.250 [2 per cell]
2 Pd 0.500 0.000 0.000 [1 per cell]
3 Pd 0.500 0.000 0.500 [1 per cell]
4 Cl 0.320 0.182 0.750 [2 per cell]

Calculated values
The uncorrected formation energy is -0.81 eV/atom. As for the total moment: 0.0 Bohr magnetons per cell. The total energy is -3.436 eV per atom. The energy above the lowest structure with this stoichiometry comes out at 37 meV/atom. The calculation puts the density of states at the Fermi level at 0.000 states/eV/atom.


Entry 5:
Entry from Alexandria via LeMat-Bulk: a relaxed Gd2ZnRh crystal (PBE).

Lattice parameters (Å, degrees): 3.542 3.542 7.061 90.00 90.00 90.00
Space group P4/mmm (No. 123)
One atom of each set of equivalent atoms:
1 Gd 0.000 0.000 0.235 [2 per cell]
2 Zn 0.500 0.500 0.500 [1 per cell]
3 Rh 0.500 0.500 0.000 [1 per cell]

Calculated values
As for the formation energy from the elements: -0.571 eV per atom. As for the total moment: 14.4 Bohr magnetons per cell. The total energy is -9.768 eV per atom. The energy above the lowest structure with this stoichiometry comes out at 0 meV/atom. The calculation puts the density of states at the Fermi level at 0.808 states/eV/atom.


Entry 6:
Entry from Alexandria via LeMat-Bulk: a relaxed V3GaW crystal (PBE).

Lattice parameters (Å, degrees): 4.350 13.133 5.014 90.00 90.00 90.00
Space group Cmcm (No. 63)
One atom of each set of equivalent atoms:
1 V 0.000 0.016 0.250 [4 per cell]
2 V 0.000 0.195 0.507 [8 per cell]
3 Ga 0.000 0.373 0.750 [4 per cell]
4 W 0.000 0.412 0.250 [4 per cell]

Calculated values
As for the formation energy from the elements: 0.066 eV per atom. As for the total moment: 0.0 Bohr magnetons per cell. The total energy is -8.601 eV per atom. The energy above the lowest structure with this stoichiometry comes out at 81 meV/atom. The calculation puts the density of states at the Fermi level at 0.865 states/eV/atom.


Entry 7:
Entry from Alexandria via LeMat-Bulk: a relaxed SrLiGePd crystal (PBE).

Lattice parameters (Å, degrees): 6.857 6.857 6.857 90.00 90.00 90.00
Space group F-43m (No. 216)
One atom of each set of equivalent atoms:
1 Sr 0.000 0.000 0.000 [4 per cell]
2 Li 0.250 0.250 0.750 [4 per cell]
3 Ge 0.000 0.000 0.500 [4 per cell]
4 Pd 0.250 0.250 0.250 [4 per cell]

Calculated values
As for the formation energy from the elements: -0.387 eV per atom. As for the total moment: 0.0 Bohr magnetons per cell. The total energy is -3.739 eV per atom. The energy above the lowest structure with this stoichiometry comes out at 210 meV/atom. The calculation puts the density of states at the Fermi level at 0.938 states/eV/atom.


Entry 8:
Entry from Alexandria via LeMat-Bulk: a relaxed Ho2ErCd5 crystal (PBE).

Lattice parameters (Å, degrees): 5.106 5.106 14.941 90.00 90.00 90.00
Space group I4/mmm (No. 139)
One atom of each set of equivalent atoms:
1 Ho 0.000 0.000 0.240 [4 per cell]
2 Er 0.000 0.000 0.500 [2 per cell]
3 Cd 0.000 0.000 0.000 [2 per cell]
4 Cd 0.000 0.500 0.119 [8 per cell]

Calculated values
As for the formation energy from the elements: -0.291 eV per atom. As for the total moment: 0.0 Bohr magnetons per cell. The total energy is -2.577 eV per atom. The calculation puts the density of states at the Fermi level at 0.437 states/eV/atom.


Entry 9:
Entry from Alexandria via LeMat-Bulk: a relaxed Na2AlI crystal (PBE).

Lattice parameters (Å, degrees): 7.936 7.936 7.936 90.00 90.00 90.00
Space group Fm-3m (No. 225)
One atom of each set of equivalent atoms:
1 Na 0.250 0.250 0.250 [8 per cell]
2 Al 0.000 0.000 0.000 [4 per cell]
3 I 0.000 0.000 0.500 [4 per cell]

Calculated values
The uncorrected formation energy is -0.02 eV/atom. As for the total moment: 0.0 Bohr magnetons per cell. The total energy is -2.007 eV per atom. The energy above the lowest structure with this stoichiometry comes out at 99 meV/atom. The calculation puts the density of states at the Fermi level at 0.890 states/eV/atom.


Entry 10:
Entry from Alexandria via LeMat-Bulk: a relaxed La2PrIr crystal (PBE).

Lattice parameters (Å, degrees): 3.9867 3.9867 32.1641 90.00 90.00 120.00
Space group R-3m (No. 166, hexagonal axes)
One atom of each set of equivalent atoms:
1 La 0.0000 0.0000 0.1149 [6 per cell]
2 Pr 0.0000 0.0000 0.0000 [3 per cell]
3 Ir 0.0000 0.0000 0.5000 [3 per cell]

Calculated values
As for the formation energy from the elements: -0.198 eV per atom. As for the total moment: 2.5 Bohr magnetons per cell. The total energy is -6.072 eV per atom. The energy above the lowest structure with this stoichiometry comes out at 269 meV/atom. The calculation puts the density of states at the Fermi level at 1.521 states/eV/atom.


Entry 11:
Entry from Alexandria via LeMat-Bulk: a relaxed NaLa2Br8 crystal (PBE).

Lattice parameters (Å, degrees): 9.203 13.788 5.778 90.00 98.24 90.00
Space group C2/m (No. 12)
One atom of each set of equivalent atoms:
1 Na 0.000 0.000 0.000 [2 per cell]
2 La 0.000 0.304 0.500 [4 per cell]
3 Br 0.000 0.234 0.000 [4 per cell]
4 Br 0.088 0.500 0.807 [4 per cell]
5 Br 0.200 0.127 0.566 [8 per cell]

Calculated values
The uncorrected formation energy is -1.64 eV/atom. As for the total moment: 2.0 Bohr magnetons per cell. The total energy is -3.870 eV per atom. The calculation puts the density of states at the Fermi level at 0.016 states/eV/atom.


Entry 12:
Entry from Alexandria via LeMat-Bulk: a relaxed Nd8Te2Pd3 crystal (PBE).

Lattice parameters (Å, degrees): 16.018 8.319 7.196 90.00 106.57 90.00
Space group C2/m (No. 12)
One atom of each set of equivalent atoms:
1 Nd 0.098 0.000 0.381 [4 per cell]
2 Nd 0.102 0.500 0.403 [4 per cell]
3 Nd 0.106 0.246 0.903 [8 per cell]
4 Te 0.249 0.500 0.839 [4 per cell]
5 Pd 0.000 0.245 0.500 [4 per cell]
6 Pd 0.000 0.500 0.000 [2 per cell]

Calculated values
The uncorrected formation energy is -0.61 eV/atom. As for the total moment: 0.0 Bohr magnetons per cell. The total energy is -5.224 eV per atom. The calculation puts the density of states at the Fermi level at 0.933 states/eV/atom.


> What is the total energy in the eleventh record?

-3.870 eV per atom